First-principles (GGA-PBE) data for Dy2Si4IrPd after structural relaxation, as listed in OQMD via LeMat-Bulk.

Output
- raw total energy (eV for the cell shown) = -103.9

abc: 4.207 4.105 16.718
angles: 90.00 90.00 90.00
Space group Amm2 (No. 38)
Inequivalent atoms, fractional coordinates:
Dy: 0.000 0.000 0.000
Dy: 0.500 0.000 0.208
Si: 0.000 0.000 0.355
Si: 0.000 0.000 0.641
Si: 0.500 0.000 0.572
Si: 0.500 0.000 0.851
Ir: 0.000 0.000 0.782
Pd: 0.500 0.000 0.430